Record 1
Below is Pm2SmY3Se6 after structural relaxation, with properties calculated at the PBE-GGA level.

Properties
Uncorrected formation energy = -2086 kJ/mol of formula units
DOS at the Fermi energy = 0.48 states/eV/atom

Unit cell a=7.1180 b=12.3999 c=7.2122 alpha=90.00 beta=109.32 gamma=90.00
Space group C2/m (No. 12)
Symmetry-distinct sites (fractional):
Pm: 0.0000 0.1667 0.0000 [4 per cell]
Sm: 0.0000 0.5000 0.0000 [2 per cell]
Y: 0.0000 0.0000 0.5000 [2 per cell]
Y: 0.0000 0.3324 0.5000 [4 per cell]
Se: 0.2452 0.5000 0.7401 [4 per cell]
Se: 0.2476 0.1660 0.7408 [8 per cell]

---

Record 2
Below is Pm3SmY2Se6 after structural relaxation, with properties calculated at the PBE-GGA level.

Properties
Uncorrected formation energy = -2098 kJ/mol of formula units
DOS at the Fermi energy = 0.47 states/eV/atom

Unit cell a=7.1627 b=12.4729 c=7.2254 alpha=90.00 beta=109.40 gamma=90.00
Space group C2/m (No. 12)
Symmetry-distinct sites (fractional):
Pm: 0.0000 0.0000 0.0000 [2 per cell]
Pm: 0.0000 0.3368 0.0000 [4 per cell]
Sm: 0.0000 0.5000 0.5000 [2 per cell]
Y: 0.0000 0.1662 0.5000 [4 per cell]
Se: 0.2416 0.0000 0.7407 [4 per cell]
Se: 0.2497 0.1694 0.2566 [8 per cell]

---

Record 3
Below is PmSmYSe3 after structural relaxation, with properties calculated at the PBE-GGA level.

Properties
Uncorrected formation energy = -1013 kJ/mol of formula units
DOS at the Fermi energy = 0.59 states/eV/atom

Unit cell a=7.2316 b=4.0424 c=10.7644 alpha=90.00 beta=102.53 gamma=90.00
Space group P2_1/m (No. 11)
Symmetry-distinct sites (fractional):
Pm: 0.1664 0.2500 0.1979 [2 per cell]
Sm: 0.2615 0.7500 0.5576 [2 per cell]
Y: 0.3787 0.2500 0.8726 [2 per cell]
Se: 0.0454 0.2500 0.6715 [2 per cell]
Se: 0.2150 0.7500 0.0010 [2 per cell]
Se: 0.4455 0.7500 0.3404 [2 per cell]

---

Record 4
Below is PmSm2Y3Se6 after structural relaxation, with properties calculated at the PBE-GGA level.

Properties
Uncorrected formation energy = -2082 kJ/mol of formula units
DOS at the Fermi energy = 0.48 states/eV/atom

Unit cell a=7.1143 b=12.3951 c=7.1994 alpha=90.00 beta=109.35 gamma=90.00
Space group C2/m (No. 12)
Symmetry-distinct sites (fractional):
Pm: 0.0000 0.0000 0.0000 [2 per cell]
Sm: 0.0000 0.3335 0.0000 [4 per cell]
Y: 0.0000 0.1658 0.5000 [4 per cell]
Y: 0.0000 0.5000 0.5000 [2 per cell]
Se: 0.2463 0.3326 0.7411 [8 per cell]
Se: 0.2485 0.0000 0.7417 [4 per cell]